Entry 1:
## Tm4AlAg2 (GGA-PBE)

Data for Tm4AlAg2 after structural relaxation.

Results
Energy relative to the lowest polymorph listed for this composition ... 0.000 eV/atom
Raw total energy ... -28.7 eV per cell
ρ ... 8.64 g/cm3
Total magnetization ... 0.00 μB/cell

Geometry as POSCAR:
```
Tm4AlAg2
1.0
4.799 0.000 1.499
2.165 4.283 1.499
-0.042 -0.026 8.565
Tm Al Ag
4 1 2
Cartesian
6.058 3.725 5.902 Tm
0.865 0.532 5.662 Tm
4.305 2.648 3.080 Tm
2.617 1.609 8.484 Tm
0.000 0.000 0.000 Al
5.161 3.174 8.773 Ag
1.762 1.084 2.790 Ag
```

Entry 2:
## TmAl3Ag (GGA-PBE)

Data for TmAl3Ag after structural relaxation.

Results
Energy relative to the lowest polymorph listed for this composition ... 0.000 eV/atom
Raw total energy ... -79.4 eV per cell
ρ ... 6.13 g/cm3
Total magnetization ... 0.00 μB/cell

Geometry as POSCAR:
```
TmAl3Ag
1.0
6.551 1.308 0.000
1.357 6.541 0.000
0.000 0.000 9.442
Tm Al Ag
4 12 4
Cartesian
6.923 6.871 2.361 Tm
0.985 0.978 7.082 Tm
2.841 2.820 2.361 Tm
5.067 5.029 7.082 Tm
5.905 3.921 2.361 Al
2.003 3.928 7.082 Al
3.943 1.974 7.082 Al
3.965 5.876 2.361 Al
0.833 0.827 3.868 Al
7.075 7.022 8.589 Al
7.075 7.022 5.575 Al
0.833 0.827 0.853 Al
2.986 4.900 0.000 Al
4.922 2.949 4.721 Al
4.922 2.949 0.000 Al
2.986 4.900 4.721 Al
3.275 0.654 0.000 Ag
3.275 0.654 4.721 Ag
0.679 3.270 0.000 Ag
0.679 3.270 4.721 Ag
```

Entry 3:
## Tm8Al2Ag (GGA-PBE)

Data for Tm8Al2Ag after structural relaxation.

Results
Raw total energy ... -47.8 eV per cell
ρ ... 8.54 g/cm3
Total magnetization ... 0.00 μB/cell

Geometry as POSCAR:
```
Tm8Al2Ag
1.0
5.012 0.000 0.000
0.000 6.650 0.351
-2.506 -2.427 8.695
Tm Al Ag
8 2 1
Cartesian
0.000 1.593 7.234 Tm
2.506 5.669 3.073 Tm
2.506 3.223 5.365 Tm
2.506 -0.759 8.388 Tm
0.000 1.000 3.681 Tm
0.000 -1.446 5.974 Tm
2.506 2.629 1.812 Tm
0.000 4.981 0.659 Tm
2.506 0.199 5.482 Al
0.000 4.024 3.565 Al
2.506 0.000 0.000 Ag
```

Entry 4:
## TmAl4Ag2 (GGA-PBE)

Data for TmAl4Ag2 after structural relaxation.

Results
Energy relative to the lowest polymorph listed for this composition ... 0.000 eV/atom
Raw total energy ... -52.8 eV per cell
ρ ... 6.18 g/cm3
Total magnetization ... 0.00 μB/cell

Geometry as POSCAR:
```
TmAl4Ag2
1.0
4.070 0.000 0.000
0.000 8.067 0.000
0.000 0.000 8.067
Tm Al Ag
2 8 4
Cartesian
2.035 0.000 0.000 Tm
0.000 4.034 4.034 Tm
0.000 0.706 2.731 Al
0.000 7.361 5.337 Al
2.035 1.303 4.740 Al
2.035 6.764 3.328 Al
2.035 3.328 6.764 Al
2.035 4.740 1.303 Al
0.000 2.731 0.706 Al
0.000 5.337 7.361 Al
0.000 1.646 6.422 Ag
0.000 6.422 1.646 Ag
2.035 5.679 5.679 Ag
2.035 2.388 2.388 Ag
```

Entry 5:
## TmAl4Ag4 (GGA-PBE)

Data for TmAl4Ag4 after structural relaxation.

Results
Raw total energy ... -64.6 eV per cell
ρ ... 6.95 g/cm3
Total magnetization ... 0.00 μB/cell

Geometry as POSCAR:
```
TmAl4Ag4
1.0
-0.303 4.680 -3.721
1.663 -3.513 -4.553
-9.059 -1.995 -1.771
Tm Al Ag
2 8 8
Cartesian
0.000 0.000 0.000 Tm
-3.850 -0.414 -5.023 Tm
-7.625 -2.592 -4.722 Al
-7.797 0.063 -6.833 Al
0.484 -0.560 -5.559 Al
-0.460 1.433 -2.976 Al
-2.670 -3.367 -4.016 Al
-3.390 -1.847 -2.046 Al
-5.284 0.183 -2.071 Al
-5.415 2.208 -3.682 Al
-6.002 -1.900 -6.716 Ag
-6.870 -0.067 -4.340 Ag
-1.343 1.376 -5.488 Ag
-1.184 -1.065 -3.546 Ag
-2.665 0.651 -1.476 Ag
-2.810 2.889 -3.256 Ag
-6.039 -2.342 -2.453 Ag
-5.244 -4.022 -4.630 Ag
```

Entry 6:
## TmAl4Ag8 (GGA-PBE)

Data for TmAl4Ag8 after structural relaxation.

Results
Raw total energy ... -44.6 eV per cell
ρ ... 8.13 g/cm3
Total magnetization ... 0.00 μB/cell

Geometry as POSCAR:
```
TmAl4Ag8
1.0
5.384 0.000 0.000
2.692 6.576 0.000
2.692 0.000 6.576
Tm Al Ag
1 4 8
Cartesian
0.000 0.000 0.000 Tm
1.346 0.000 3.288 Al
4.038 0.000 3.288 Al
1.346 3.288 0.000 Al
4.038 3.288 0.000 Al
2.692 2.241 4.335 Ag
2.692 4.335 2.241 Ag
5.384 4.335 4.335 Ag
5.384 2.241 2.241 Ag
5.384 5.156 1.420 Ag
5.384 1.420 5.156 Ag
2.692 1.420 1.420 Ag
8.076 5.156 5.156 Ag
```